Record 1
Here is crystalline LiTe3MoAu at its relaxed geometry from OQMD. Energies are from PBE.

crystal system = orthorhombic
total magnetization = 8.26 μB/cell
E_tot = -0.321 Ry per atom

a = 3.908 Å, b = 14.058 Å, c = 10.712 Å
α = 90.00°, β = 90.00°, γ = 90.00°
Space group Cmcm (No. 63)
One atom of each set of equivalent atoms:
Li: 0.000 0.202 0.250 x4
Te: 0.000 0.092 0.750 x4
Te: 0.000 0.358 0.529 x8
Mo: 0.000 0.000 0.000 x4
Au: 0.000 0.448 0.750 x4

***

Record 2
Here is crystalline Ga2CuTe4Au at its relaxed geometry from OQMD. Energies are from PBE.

crystal system = tetragonal
E_tot = -0.255 Ry per atom

a = 6.216 Å, b = 6.216 Å, c = 12.218 Å
α = 90.00°, β = 90.00°, γ = 90.00°
Space group I-4 (No. 82)
One atom of each set of equivalent atoms:
Ga: 0.000 0.000 0.000 x2
Ga: 0.000 0.500 0.250 x2
Cu: 0.000 0.000 0.500 x2
Te: 0.239 0.752 0.380 x8
Au: 0.000 0.500 0.750 x2

***

Record 3
Here is crystalline Ta5Nb2Co6 at its relaxed geometry from OQMD. Energies are from PBE.

crystal system = trigonal
total magnetization = 0.13 μB/cell
ΔE_f = -0.234 eV/atom
excess energy over the best structure of this formula in the dataset = 0.011 eV/atom

a = 4.9719 Å, b = 4.9719 Å, c = 26.0437 Å
α = 90.00°, β = 90.00°, γ = 120.00°
Space group R-3m (No. 166, hexagonal axes)
One atom of each set of equivalent atoms:
Ta: 0.0000 0.0000 0.0000 x3
Ta: 0.0000 0.0000 0.1663 x6
Ta: 0.0000 0.0000 0.3462 x6
Nb: 0.0000 0.0000 0.4508 x6
Co: 0.0078 0.5039 0.4116 x18

***

Record 4
Here is crystalline SmHoGa2Br2 at its relaxed geometry from OQMD. Energies are from PBE.

crystal system = trigonal
total magnetization = 0.00 μB/cell
E_tot = -0.319 Ry per atom

a = 4.1503 Å, b = 4.1503 Å, c = 11.3286 Å
α = 90.00°, β = 90.00°, γ = 120.00°
Space group P3m1 (No. 156)
One atom of each set of equivalent atoms:
Sm: 0.0000 0.0000 0.0000 x1
Ho: 0.0000 0.0000 0.6355 x1
Ga: 0.3333 0.6667 0.8442 x1
Ga: 0.6667 0.3333 0.7849 x1
Br: 0.3333 0.6667 0.4824 x1
Br: 0.6667 0.3333 0.1599 x1

***

Record 5
Here is crystalline HfZrFeB at its relaxed geometry from OQMD. Energies are from PBE.

crystal system = cubic
total magnetization = 0.11 μB/cell
excess energy over the best structure of this formula in the dataset = 0.000 eV/atom

a = 6.123 Å, b = 6.123 Å, c = 6.123 Å
α = 90.00°, β = 90.00°, γ = 90.00°
Space group F-43m (No. 216)
One atom of each set of equivalent atoms:
Hf: 0.000 0.000 0.000 x4
Zr: 0.250 0.250 0.250 x4
Fe: 0.250 0.250 0.750 x4
B: 0.000 0.000 0.500 x4

***

Record 6
Here is crystalline DyErCu2Pb2 at its relaxed geometry from OQMD. Energies are from PBE.

crystal system = trigonal
total magnetization = 0.00 μB/cell
E_tot = -0.322 Ry per atom

a = 4.6108 Å, b = 4.6108 Å, c = 7.3368 Å
α = 90.00°, β = 90.00°, γ = 120.00°
Space group P3m1 (No. 156)
One atom of each set of equivalent atoms:
Dy: 0.0000 0.0000 0.0000 x1
Er: 0.0000 0.0000 0.4997 x1
Cu: 0.3333 0.6667 0.3255 x1
Cu: 0.6667 0.3333 0.8210 x1
Pb: 0.3333 0.6667 0.7285 x1
Pb: 0.6667 0.3333 0.2312 x1

***

Record 7
Here is crystalline TbYSi2Pd4 at its relaxed geometry from OQMD. Energies are from PBE.

crystal system = orthorhombic
total magnetization = 0.01 μB/cell
E_tot = -0.462 Ry per atom

a = 7.117 Å, b = 3.891 Å, c = 10.206 Å
α = 90.00°, β = 90.00°, γ = 90.00°
Space group Amm2 (No. 38)
One atom of each set of equivalent atoms:
Tb: 0.000 0.000 0.000 x2
Y: 0.500 0.000 0.108 x2
Si: 0.000 0.000 0.283 x2
Si: 0.500 0.000 0.825 x2
Pd: 0.196 0.000 0.700 x4
Pd: 0.303 0.000 0.408 x4

***

Record 8
Here is crystalline MgCoB4 at its relaxed geometry from OQMD. Energies are from PBE.

crystal system = orthorhombic
total magnetization = 0.00 μB/cell
excess energy over the best structure of this formula in the dataset = 0.000 eV/atom

a = 5.795 Å, b = 11.147 Å, c = 3.143 Å
α = 90.00°, β = 90.00°, γ = 90.00°
Space group Pbam (No. 55)
One atom of each set of equivalent atoms:
Mg: 0.128 0.150 0.000 x4
Co: 0.139 0.410 0.000 x4
B: 0.020 0.694 0.500 x4
B: 0.114 0.549 0.500 x4
B: 0.136 0.971 0.500 x4
B: 0.208 0.815 0.500 x4